VASP calculation (SCAN) on a PBEsol-optimized structure of LaZrCl2.

Properties
Energy in eV/atom: -23.489
Space-group type: No. 8
Energy above the lowest structure with this stoichiometry in meV per atom: 66.6
E_form (uncorrected) in meV/atom: -1049
DOS(E_F) in states/eV/atom: 0.650

a b c (Å): 6.9319 6.9319 4.4119
angles (deg): 108.43 108.43 27.41
Sites, in units of the cell vectors:
La: 0.0000 0.0000 0.0000
Zr: 0.3179 0.3179 0.3167
Cl: 0.5223 0.5223 0.5220
Cl: 0.7759 0.7759 0.7757



VASP calculation (SCAN) on a PBEsol-optimized structure of La2ZrCl2.

Properties
Energy in eV/atom: -27.595
Space-group type: No. 139
E_form (uncorrected) in meV/atom: -1022
DOS(E_F) in states/eV/atom: 0.621

a b c (Å): 8.3164 8.3164 8.3164
angles (deg): 150.05 150.05 42.86
Sites, in units of the cell vectors:
La: 0.1224 0.1224 0.0000
La: 0.8776 0.8776 0.0000
Zr: 0.5000 0.5000 0.0000
Cl: 0.2500 0.7500 0.5000
Cl: 0.7500 0.2500 0.5000



VASP calculation (SCAN) on a PBEsol-optimized structure of LaZrCl2.

Properties
Energy in eV/atom: -23.555
Space-group type: No. 44
Energy above the lowest structure with this stoichiometry in meV per atom: 0.0
E_form (uncorrected) in meV/atom: -1115
DOS(E_F) in states/eV/atom: 0.562

a b c (Å): 6.8598 6.8598 6.8598
angles (deg): 151.19 146.82 44.51
Sites, in units of the cell vectors:
La: 0.0000 0.0000 0.0000
Zr: 0.7524 0.2524 0.5000
Cl: 0.1862 0.6862 0.5000
Cl: 0.3964 0.3964 0.0000



VASP calculation (SCAN) on a PBEsol-optimized structure of LiCl.

Properties
Energy in eV/atom: -7.125
Space-group type: No. 57
E_form (uncorrected) in meV/atom: -1941
DOS(E_F) in states/eV/atom: 0.000

a b c (Å): 9.9584 6.5179 6.6081
angles (deg): 90.00 90.00 90.00
Sites, in units of the cell vectors:
Li: 0.0555 0.0615 0.2500
Li: 0.0555 0.4385 0.7500
Li: 0.2574 0.6654 0.2500
Li: 0.2574 0.8346 0.7500
Li: 0.4084 0.2500 0.0000
Li: 0.4084 0.2500 0.5000
Li: 0.5916 0.7500 0.0000
Li: 0.5916 0.7500 0.5000
Li: 0.7426 0.1654 0.2500
Li: 0.7426 0.3346 0.7500
Li: 0.9445 0.5615 0.2500
Li: 0.9445 0.9385 0.7500
Cl: 0.0896 0.7500 0.0000
Cl: 0.0896 0.7500 0.5000
Cl: 0.2281 0.1821 0.7500
Cl: 0.2281 0.3179 0.2500
Cl: 0.4298 0.6016 0.7500
Cl: 0.4298 0.8984 0.2500
Cl: 0.5702 0.1016 0.7500
Cl: 0.5702 0.3984 0.2500
Cl: 0.7719 0.6821 0.7500
Cl: 0.7719 0.8179 0.2500
Cl: 0.9104 0.2500 0.0000
Cl: 0.9104 0.2500 0.5000



VASP calculation (SCAN) on a PBEsol-optimized structure of Li3Cl.

Properties
Energy in eV/atom: -4.658
Space-group type: No. 187
Energy above the lowest structure with this stoichiometry in meV per atom: 0.0
E_form (uncorrected) in meV/atom: -871
DOS(E_F) in states/eV/atom: 0.330

a b c (Å): 3.3487 3.3487 8.2982
angles (deg): 90.00 90.00 120.00
Sites, in units of the cell vectors:
Li: 0.0000 0.0000 0.0000
Li: 0.3333 0.6667 0.3155
Li: 0.3333 0.6667 0.6845
Cl: 0.0000 0.0000 0.5000



VASP calculation (SCAN) on a PBEsol-optimized structure of LiCl.

Properties
Energy in eV/atom: -7.200
Space-group type: No. 216
E_form (uncorrected) in meV/atom: -2016
DOS(E_F) in states/eV/atom: 0.000

a b c (Å): 3.8438 3.8438 3.8438
angles (deg): 60.00 60.00 60.00
Sites, in units of the cell vectors:
Li: 0.0000 0.0000 0.0000
Cl: 0.7500 0.7500 0.7500



VASP calculation (SCAN) on a PBEsol-optimized structure of LiCl.

Properties
Energy in eV/atom: -7.063
Space-group type: No. 65
E_form (uncorrected) in meV/atom: -1879
DOS(E_F) in states/eV/atom: 0.000

a b c (Å): 3.9298 3.9298 3.3607
angles (deg): 90.00 90.00 127.87
Sites, in units of the cell vectors:
Li: 0.0000 0.0000 0.0000
Cl: 0.5000 0.5000 0.5000



VASP calculation (SCAN) on a PBEsol-optimized structure of LiCl.

Properties
Energy in eV/atom: -7.208
Space-group type: No. 225
E_form (uncorrected) in meV/atom: -2024
DOS(E_F) in states/eV/atom: 0.000

a b c (Å): 3.5776 3.5776 3.5776
angles (deg): 60.00 60.00 60.00
Sites, in units of the cell vectors:
Li: 0.0000 0.0000 0.0000
Cl: 0.5000 0.5000 0.5000